1.
# HoCdIn PBE optimized geometry
# * formation enthalpy at 0 K: -0.169 eV/atom
# * magnetic moment: 0.000 μB per formula unit
data_HoCdIn
_cell_length_a 4.300
_cell_length_b 4.300
_cell_length_c 9.238
_cell_angle_alpha 103.46
_cell_angle_beta 103.46
_cell_angle_gamma 90.00
_symmetry_space_group_name_H-M 'P 1'
_symmetry_Int_Tables_number 1
loop_
_symmetry_equiv_pos_as_xyz
'x,y,z'
loop_
_atom_site_label
_atom_site_fract_x
_atom_site_fract_y
_atom_site_fract_z
Ho1 0.500 0.500 0.000
Ho2 0.250 0.750 0.500
Cd1 0.673 0.173 0.346
Cd2 0.827 0.327 0.654
In1 0.079 0.079 0.158
In2 0.921 0.921 0.842

---

2.
# Np2Si7Ru12 PBE optimized geometry
# * formation energy (no corrections): -479 meV per atom
# * magnetic moment: 4.478 μB per formula unit
data_Np2Si7Ru12
_cell_length_a 3.914
_cell_length_b 9.610
_cell_length_c 9.610
_cell_angle_alpha 120.00
_cell_angle_beta 90.00
_cell_angle_gamma 90.00
_symmetry_space_group_name_H-M 'P 1'
_symmetry_Int_Tables_number 1
loop_
_symmetry_equiv_pos_as_xyz
'x,y,z'
loop_
_atom_site_label
_atom_site_fract_x
_atom_site_fract_y
_atom_site_fract_z
Si1 0.500 0.628 0.567
Si2 0.000 0.038 0.773
Si3 0.500 0.940 0.372
Si4 0.000 0.333 0.667
Si5 0.500 0.433 0.060
Si6 0.000 0.227 0.265
Si7 0.000 0.735 0.962
Ru1 0.500 0.395 0.287
Ru2 0.000 0.462 0.517
Ru3 0.500 0.224 0.454
Ru4 0.500 0.230 0.776
Ru5 0.000 0.483 0.944
Ru6 0.000 0.056 0.538
Ru7 0.500 0.546 0.770
Ru8 0.500 0.713 0.108
Ru9 0.000 0.965 0.228
Ru10 0.000 0.772 0.737
Ru11 0.500 0.892 0.605
Ru12 0.000 0.263 0.035
Np1 0.000 0.667 0.333
Np2 0.500 0.000 0.000

---

3.
# NbHgI6 PBE optimized geometry
# * formation energy (no corrections): -340 meV per atom
# * magnetic moment: 0.001 μB per formula unit
# * ΔE to the lowest computed polymorph: 0 meV/atom
data_NbHgI6
_cell_length_a 7.698
_cell_length_b 7.522
_cell_length_c 7.681
_cell_angle_alpha 78.70
_cell_angle_beta 67.48
_cell_angle_gamma 59.22
_symmetry_space_group_name_H-M 'P 1'
_symmetry_Int_Tables_number 1
loop_
_symmetry_equiv_pos_as_xyz
'x,y,z'
loop_
_atom_site_label
_atom_site_fract_x
_atom_site_fract_y
_atom_site_fract_z
I1 0.422 0.693 0.734
I2 0.886 0.693 0.266
I3 0.578 0.307 0.266
I4 0.284 0.000 0.287
I5 0.114 0.307 0.734
I6 0.716 0.000 0.713
Nb1 0.500 0.000 0.500
Hg1 0.000 0.000 0.000

---

4.
# HoEr8Bi6 PBE optimized geometry
# * formation enthalpy at 0 K: -0.473 eV/atom
# * magnetic moment: 0.000 μB per formula unit
data_HoEr8Bi6
_cell_length_a 7.568
_cell_length_b 7.568
_cell_length_c 10.735
_cell_angle_alpha 69.36
_cell_angle_beta 69.36
_cell_angle_gamma 60.00
_symmetry_space_group_name_H-M 'P 1'
_symmetry_Int_Tables_number 1
loop_
_symmetry_equiv_pos_as_xyz
'x,y,z'
loop_
_atom_site_label
_atom_site_fract_x
_atom_site_fract_y
_atom_site_fract_z
Ho1 0.000 0.000 0.000
Er1 0.333 0.333 0.000
Er2 0.878 0.546 0.366
Er3 0.789 0.122 0.634
Er4 0.546 0.211 0.366
Er5 0.211 0.878 0.366
Er6 0.667 0.667 0.000
Er7 0.454 0.789 0.634
Er8 0.122 0.454 0.634
Bi1 0.603 0.938 0.187
Bi2 0.062 0.728 0.813
Bi3 0.272 0.603 0.187
Bi4 0.397 0.062 0.813
Bi5 0.938 0.272 0.187
Bi6 0.728 0.397 0.813

---

What did the third record say?
# NbHgI6 PBE optimized geometry
# * formation energy (no corrections): -340 meV per atom
# * magnetic moment: 0.001 μB per formula unit
# * ΔE to the lowest computed polymorph: 0 meV/atom
data_NbHgI6
_cell_length_a 7.698
_cell_length_b 7.522
_cell_length_c 7.681
_cell_angle_alpha 78.70
_cell_angle_beta 67.48
_cell_angle_gamma 59.22
_symmetry_space_group_name_H-M 'P 1'
_symmetry_Int_Tables_number 1
loop_
_symmetry_equiv_pos_as_xyz
'x,y,z'
loop_
_atom_site_label
_atom_site_fract_x
_atom_site_fract_y
_atom_site_fract_z
I1 0.422 0.693 0.734
I2 0.886 0.693 0.266
I3 0.578 0.307 0.266
I4 0.284 0.000 0.287
I5 0.114 0.307 0.734
I6 0.716 0.000 0.713
Nb1 0.500 0.000 0.500
Hg1 0.000 0.000 0.000